Record 1
Entry from Alexandria via LeMat-Bulk: a geometry-optimized Zr4SnRh structure (PBE).

The structure in CIF format:
```
data_Zr4SnRh
_cell_length_a 4.988
_cell_length_b 10.184
_cell_length_c 5.044
_cell_angle_alpha 90.00
_cell_angle_beta 97.70
_cell_angle_gamma 90.00
_symmetry_space_group_name_H-M 'P 1'
_symmetry_Int_Tables_number 1
loop_
_symmetry_equiv_pos_as_xyz
'x,y,z'
loop_
_atom_site_label
_atom_site_fract_x
_atom_site_fract_y
_atom_site_fract_z
_atom_site_occupancy
Zr1 0.000 0.160 0.000 1
Zr2 0.000 0.339 0.500 1
Zr3 0.000 0.661 0.500 1
Zr4 0.000 0.840 0.000 1
Zr5 0.500 0.161 0.500 1
Zr6 0.500 0.340 0.000 1
Zr7 0.500 0.660 0.000 1
Zr8 0.500 0.839 0.500 1
Sn1 0.000 0.000 0.500 1
Sn2 0.500 0.500 0.500 1
Rh1 0.000 0.500 0.000 1
Rh2 0.500 0.000 0.000 1
```

Output
The density of states at the Fermi level comes out at 12.9 states/eV per cell. The calculation puts the formation energy at -0.334 eV/atom. The space group is C2/m (12).

***

Record 2
Entry from Alexandria via LeMat-Bulk: a geometry-optimized CsGaPb structure (PBE).

The structure in CIF format:
```
data_CsGaPb
_cell_length_a 3.858
_cell_length_b 3.858
_cell_length_c 14.491
_cell_angle_alpha 90.00
_cell_angle_beta 90.00
_cell_angle_gamma 90.00
_symmetry_space_group_name_H-M 'P 1'
_symmetry_Int_Tables_number 1
loop_
_symmetry_equiv_pos_as_xyz
'x,y,z'
loop_
_atom_site_label
_atom_site_fract_x
_atom_site_fract_y
_atom_site_fract_z
_atom_site_occupancy
Cs1 0.000 0.000 0.000 1
Cs2 0.500 0.500 0.500 1
Ga1 0.000 0.000 0.311 1
Ga2 0.500 0.500 0.811 1
Pb1 0.000 0.000 0.708 1
Pb2 0.500 0.500 0.208 1
```

Output
The density of states at the Fermi level comes out at 5.1 states/eV per cell. The calculation puts the formation energy at 0.008 eV/atom. The space group is I4mm (107).

***

Record 3
Entry from Alexandria via LeMat-Bulk: a geometry-optimized V2ZnW structure (PBE).

The structure in CIF format:
```
data_V2ZnW
_cell_length_a 3.135
_cell_length_b 3.135
_cell_length_c 5.840
_cell_angle_alpha 90.00
_cell_angle_beta 90.00
_cell_angle_gamma 90.00
_symmetry_space_group_name_H-M 'P 1'
_symmetry_Int_Tables_number 1
loop_
_symmetry_equiv_pos_as_xyz
'x,y,z'
loop_
_atom_site_label
_atom_site_fract_x
_atom_site_fract_y
_atom_site_fract_z
_atom_site_occupancy
V1 0.000 0.000 0.245 1
V2 0.000 0.000 0.755 1
Zn1 0.500 0.500 0.500 1
W1 0.500 0.500 0.000 1
```

Output
The density of states at the Fermi level comes out at 2.1 states/eV per cell. The calculation puts the formation energy at -0.001 eV/atom. The space group is P4/mmm (123).

***

Record 4
Entry from Alexandria via LeMat-Bulk: a geometry-optimized AcEu3Zn structure (PBE).

The structure in CIF format:
```
data_AcEu3Zn
_cell_length_a 5.918
_cell_length_b 5.918
_cell_length_c 5.918
_cell_angle_alpha 90.00
_cell_angle_beta 90.00
_cell_angle_gamma 90.00
_symmetry_space_group_name_H-M 'P 1'
_symmetry_Int_Tables_number 1
loop_
_symmetry_equiv_pos_as_xyz
'x,y,z'
loop_
_atom_site_label
_atom_site_fract_x
_atom_site_fract_y
_atom_site_fract_z
_atom_site_occupancy
Ac1 0.000 0.000 0.000 1
Eu1 0.000 0.500 0.500 1
Eu2 0.500 0.000 0.500 1
Eu3 0.500 0.500 0.000 1
Zn1 0.500 0.500 0.500 1
```

Output
The density of states at the Fermi level comes out at 3.9 states/eV per cell. The calculation puts the formation energy at 0.076 eV/atom. The space group is Pm-3m (221).

***

Record 5
Entry from Alexandria via LeMat-Bulk: a geometry-optimized ThH11Ru5 structure (PBE).

The structure in CIF format:
```
data_ThH11Ru5
_cell_length_a 5.503
_cell_length_b 5.503
_cell_length_c 5.061
_cell_angle_alpha 104.64
_cell_angle_beta 104.64
_cell_angle_gamma 90.85
_symmetry_space_group_name_H-M 'P 1'
_symmetry_Int_Tables_number 1
loop_
_symmetry_equiv_pos_as_xyz
'x,y,z'
loop_
_atom_site_label
_atom_site_fract_x
_atom_site_fract_y
_atom_site_fract_z
_atom_site_occupancy
Th1 0.000 0.000 0.000 1
H1 0.000 0.000 0.500 1
H2 0.175 0.648 0.650 1
H3 0.211 0.445 0.103 1
H4 0.300 0.300 0.650 1
H5 0.352 0.825 0.350 1
H6 0.445 0.211 0.103 1
H7 0.555 0.789 0.897 1
H8 0.648 0.175 0.650 1
H9 0.700 0.700 0.350 1
H10 0.789 0.555 0.897 1
H11 0.825 0.352 0.350 1
Ru1 0.016 0.638 0.287 1
Ru2 0.362 0.984 0.713 1
Ru3 0.500 0.500 0.000 1
Ru4 0.638 0.016 0.287 1
Ru5 0.984 0.362 0.713 1
```

Output
The density of states at the Fermi level comes out at 7.7 states/eV per cell. The calculated total energy comes out at -5.217 eV/atom. The space group is C2/m (12).

***

Record 6
Entry from Alexandria via LeMat-Bulk: a geometry-optimized CePr6Ho5 structure (PBE).

The structure in CIF format:
```
data_CePr6Ho5
_cell_length_a 9.573
_cell_length_b 9.573
_cell_length_c 9.573
_cell_angle_alpha 148.74
_cell_angle_beta 115.92
_cell_angle_gamma 73.02
_symmetry_space_group_name_H-M 'P 1'
_symmetry_Int_Tables_number 1
loop_
_symmetry_equiv_pos_as_xyz
'x,y,z'
loop_
_atom_site_label
_atom_site_fract_x
_atom_site_fract_y
_atom_site_fract_z
_atom_site_occupancy
Ce1 0.000 0.000 0.000 1
Pr1 0.085 0.835 0.250 1
Pr2 0.249 0.500 0.749 1
Pr3 0.415 0.165 0.250 1
Pr4 0.585 0.835 0.750 1
Pr5 0.751 0.500 0.251 1
Pr6 0.915 0.165 0.750 1
Ho1 0.166 0.666 0.500 1
Ho2 0.332 0.332 0.000 1
Ho3 0.500 0.000 0.500 1
Ho4 0.668 0.668 0.000 1
Ho5 0.834 0.334 0.500 1
```

Output
The density of states at the Fermi level comes out at 20.0 states/eV per cell. The calculation puts the formation energy at 0.039 eV/atom. The space group is Immm (71).

***

Record 7
Entry from Alexandria via LeMat-Bulk: a geometry-optimized InAgCl structure (PBE).

The structure in CIF format:
```
data_InAgCl
_cell_length_a 3.868
_cell_length_b 3.868
_cell_length_c 5.684
_cell_angle_alpha 90.00
_cell_angle_beta 90.00
_cell_angle_gamma 120.00
_symmetry_space_group_name_H-M 'P 1'
_symmetry_Int_Tables_number 1
loop_
_symmetry_equiv_pos_as_xyz
'x,y,z'
loop_
_atom_site_label
_atom_site_fract_x
_atom_site_fract_y
_atom_site_fract_z
_atom_site_occupancy
In1 0.000 0.000 0.000 1
Ag1 0.333 0.667 0.305 1
Cl1 0.667 0.333 0.617 1
```

Output
The density of states at the Fermi level comes out at 0.8 states/eV per cell. The uncorrected formation energy is -287 meV per atom. The space group is P3m1 (156).

***

Record 8
Entry from Alexandria via LeMat-Bulk: a geometry-optimized Pm3TlGa structure (PBE).

The structure in CIF format:
```
data_Pm3TlGa
_cell_length_a 9.882
_cell_length_b 9.882
_cell_length_c 6.956
_cell_angle_alpha 90.01
_cell_angle_beta 90.01
_cell_angle_gamma 57.98
_symmetry_space_group_name_H-M 'P 1'
_symmetry_Int_Tables_number 1
loop_
_symmetry_equiv_pos_as_xyz
'x,y,z'
loop_
_atom_site_label
_atom_site_fract_x
_atom_site_fract_y
_atom_site_fract_z
_atom_site_occupancy
Pm1 0.042 0.252 0.500 1
Pm2 0.166 0.678 0.000 1
Pm3 0.252 0.042 0.000 1
Pm4 0.302 0.359 0.500 1
Pm5 0.322 0.834 0.500 1
Pm6 0.359 0.302 0.000 1
Pm7 0.641 0.698 0.000 1
Pm8 0.678 0.166 0.500 1
Pm9 0.698 0.641 0.500 1
Pm10 0.748 0.958 0.000 1
Pm11 0.834 0.322 0.000 1
Pm12 0.958 0.748 0.500 1
Tl1 0.000 0.000 0.250 1
Tl2 0.000 0.000 0.750 1
Tl3 0.500 0.500 0.250 1
Tl4 0.500 0.500 0.750 1
Ga1 0.000 0.500 0.190 1
Ga2 0.000 0.500 0.810 1
Ga3 0.500 0.000 0.310 1
Ga4 0.500 0.000 0.690 1
```

Output
The density of states at the Fermi level comes out at 20.3 states/eV per cell. The calculation puts the formation energy at -0.320 eV/atom. As for the energy above the most stable polymorph in this dataset: 25 meV per atom. The space group is C2/c (15).

***

Record 9
Entry from Alexandria via LeMat-Bulk: a geometry-optimized Li9Ac3Ag2 structure (PBE).

The structure in CIF format:
```
data_Li9Ac3Ag2
_cell_length_a 8.915
_cell_length_b 8.915
_cell_length_c 8.915
_cell_angle_alpha 148.56
_cell_angle_beta 107.13
_cell_angle_gamma 81.50
_symmetry_space_group_name_H-M 'P 1'
_symmetry_Int_Tables_number 1
loop_
_symmetry_equiv_pos_as_xyz
'x,y,z'
loop_
_atom_site_label
_atom_site_fract_x
_atom_site_fract_y
_atom_site_fract_z
_atom_site_occupancy
Li1 0.000 0.000 0.000 1
Li2 0.108 0.887 0.221 1
Li3 0.171 0.324 0.847 1
Li4 0.334 0.113 0.221 1
Li5 0.477 0.324 0.153 1
Li6 0.523 0.676 0.847 1
Li7 0.666 0.887 0.779 1
Li8 0.829 0.676 0.153 1
Li9 0.892 0.113 0.779 1
Ac1 0.182 0.682 0.500 1
Ac2 0.500 0.000 0.500 1
Ac3 0.818 0.318 0.500 1
Ag1 0.219 0.500 0.719 1
Ag2 0.781 0.500 0.281 1
```

Output
The density of states at the Fermi level comes out at 8.4 states/eV per cell. The calculation puts the formation energy at -0.021 eV/atom. The space group is Immm (71).

***

Record 10
Entry from Alexandria via LeMat-Bulk: a geometry-optimized CrCo2Ir structure (PBE).

The structure in CIF format:
```
data_CrCo2Ir
_cell_length_a 3.639
_cell_length_b 3.639
_cell_length_c 7.256
_cell_angle_alpha 90.00
_cell_angle_beta 90.00
_cell_angle_gamma 90.00
_symmetry_space_group_name_H-M 'P 1'
_symmetry_Int_Tables_number 1
loop_
_symmetry_equiv_pos_as_xyz
'x,y,z'
loop_
_atom_site_label
_atom_site_fract_x
_atom_site_fract_y
_atom_site_fract_z
_atom_site_occupancy
Cr1 0.000 0.000 0.000 1
Cr2 0.500 0.500 0.500 1
Co1 0.000 0.000 0.500 1
Co2 0.000 0.500 0.250 1
Co3 0.500 0.000 0.750 1
Co4 0.500 0.500 0.000 1
Ir1 0.000 0.500 0.750 1
Ir2 0.500 0.000 0.250 1
```

Output
The density of states at the Fermi level comes out at 8.8 states/eV per cell. The calculation puts the formation energy at -0.062 eV/atom. As for the energy above the most stable polymorph in this dataset: 18 meV per atom. The space group is I-4m2 (119).